## Nb4MoIr5 (PBE)

Data for crystalline Nb4MoIr5 at its relaxed geometry.

Results
Symmetry = P4/mmm (123)
Calculated total energy = -10.003 eV per atom
Calculated volume = 159 Å³/cell
Density of states at the Fermi level = 11.04 states/eV/f.u.
Energy relative to the elements = -0.4616 eV per atom

abc: 2.8527 2.8527 19.5534
angles: 90.00 90.00 90.00
With the nearest neighbours (Å) after each atom.
Atoms (fractional coordinates):
Nb  0.0000  0.0000  0.1993  8 Ir 2.81-2.87, 4 Nb 2.85
Nb  0.0000  0.0000  0.3994  8 Ir 2.81-2.82, 4 Nb 2.85
Nb  0.0000  0.0000  0.6006  8 Ir 2.81-2.82, 4 Nb 2.85
Nb  0.0000  0.0000  0.8007  8 Ir 2.81-2.87, 4 Nb 2.85
Mo  0.0000  0.0000  0.0000  8 Ir 2.74, 4 Mo 2.85
Ir  0.5000  0.5000  0.0950  4 Mo 2.74, 4 Ir 2.85, 4 Nb 2.87
Ir  0.5000  0.5000  0.2994  8 Nb 2.81, 4 Ir 2.85
Ir  0.5000  0.5000  0.5000  8 Nb 2.82, 4 Ir 2.85
Ir  0.5000  0.5000  0.7006  8 Nb 2.81, 4 Ir 2.85
Ir  0.5000  0.5000  0.9050  4 Mo 2.74, 4 Ir 2.85, 4 Nb 2.87

***

## Nb2Mo2Ir (PBE)

Data for crystalline Nb2Mo2Ir at its relaxed geometry.

Results
Symmetry = I4/mmm (139)
Calculated total energy = -9.129 eV per atom
Calculated volume = 93 Å³/cell
Density of states at the Fermi level = 5.84 states/eV/f.u.
Energy relative to the elements = 1.0039 eV per atom
Distance to the lowest polymorph of the same formula = 739.5 meV per atom

abc: 4.0728 4.0728 6.3025
angles: 71.15 71.15 90.00
With the nearest neighbours (Å) after each atom.
Atoms (fractional coordinates):
Mo  0.3970  0.3970  0.2059  1 Mo 2.31
Mo  0.6030  0.6030  0.7941  1 Mo 2.31
Ir  0.0000  0.0000  0.0000  8 Mo 3.10, 8 Nb 3.46
Nb  0.7500  0.2500  0.5000  4 Mo 2.62, 4 Nb 2.88
Nb  0.2500  0.7500  0.5000  4 Mo 2.62, 4 Nb 2.88

***

## Nb2MoIr9 (PBE)

Data for crystalline Nb2MoIr9 at its relaxed geometry.

Results
Symmetry = P-1 (2)
Calculated total energy = -9.501 eV per atom
Calculated volume = 182 Å³/cell
Density of states at the Fermi level = 12.20 states/eV/f.u.
Energy relative to the elements = -0.2747 eV per atom

abc: 6.8324 4.8148 8.3287
angles: 54.70 56.66 61.78
With the nearest neighbours (Å) after each atom.
Atoms (fractional coordinates):
Nb  0.2327  0.0928  0.5848  10 Ir 2.73-2.87, 1 Mo 2.74, 1 Nb 2.97
Nb  0.7673  0.9072  0.4152  10 Ir 2.73-2.87, 1 Mo 2.74, 1 Nb 2.97
Mo  0.0000  0.0000  0.0000  10 Ir 2.73-2.84, 2 Nb 2.74
Ir  0.2440  0.4226  0.9173  9 Ir 2.71-2.81, 2 Mo 2.75-2.78, 1 Nb 2.79
Ir  0.7560  0.5774  0.0827  9 Ir 2.71-2.81, 2 Mo 2.75-2.78, 1 Nb 2.79
Ir  0.5000  0.5000  0.5000  8 Ir 2.74-2.78, 4 Nb 2.82-2.84
Ir  0.7408  0.2537  0.7498  9 Ir 2.73-2.82, 2 Nb 2.73-2.75, 1 Mo 2.84
Ir  0.5017  0.8360  0.8331  9 Ir 2.73-2.81, 1 Mo 2.79, 2 Nb 2.79-2.87
Ir  0.0006  0.6583  0.6735  8 Ir 2.72-2.86, 3 Nb 2.73-2.76, 1 Mo 2.73
Ir  0.2592  0.7463  0.2502  9 Ir 2.73-2.82, 2 Nb 2.73-2.75, 1 Mo 2.84
Ir  0.9994  0.3417  0.3265  8 Ir 2.72-2.86, 3 Nb 2.73-2.76, 1 Mo 2.73
Ir  0.4983  0.1640  0.1669  9 Ir 2.73-2.81, 1 Mo 2.79, 2 Nb 2.79-2.87

***

## Nb6Mo5Ir (PBE)

Data for crystalline Nb6Mo5Ir at its relaxed geometry.

Results
Symmetry = Immm (71)
Calculated total energy = -10.518 eV per atom
Calculated volume = 201 Å³/cell
Density of states at the Fermi level = 5.81 states/eV/f.u.
Energy relative to the elements = -0.2316 eV per atom

abc: 4.5668 7.9102 7.9102
angles: 120.17 106.78 106.78
With the nearest neighbours (Å) after each atom.
Atoms (fractional coordinates):
Nb  0.2515  0.0840  0.4189  7 Mo 2.79-2.81, 1 Ir 2.81
Nb  0.7485  0.5811  0.9160  7 Mo 2.79-2.81, 1 Ir 2.81
Nb  0.7539  0.2533  0.2533  6 Mo 2.78-2.79, 2 Ir 2.80-2.81
Nb  0.2461  0.7467  0.7467  6 Mo 2.78-2.79, 2 Ir 2.80-2.81
Nb  0.2515  0.4189  0.0840  7 Mo 2.79-2.81, 1 Ir 2.81
Nb  0.7485  0.9160  0.5811  7 Mo 2.79-2.81, 1 Ir 2.81
Ir  0.0000  0.0000  0.0000  8 Nb 2.80-2.81
Mo  0.5000  0.1643  0.8357  8 Nb 2.78-2.81
Mo  0.0000  0.3329  0.6671  8 Nb 2.79
Mo  0.5000  0.5000  0.5000  8 Nb 2.78-2.80
Mo  0.0000  0.6671  0.3329  8 Nb 2.79
Mo  0.5000  0.8357  0.1643  8 Nb 2.78-2.81

***

## Nb2Mo2Ir (PBE)

Data for crystalline Nb2Mo2Ir at its relaxed geometry.

Results
Symmetry = P4/mbm (127)
Calculated total energy = -9.868 eV per atom
Calculated volume = 176 Å³/cell
Density of states at the Fermi level = 3.48 states/eV/f.u.
Energy relative to the elements = 0.2644 eV per atom
Distance to the lowest polymorph of the same formula = 0.0 meV per atom

abc: 6.5494 6.5494 4.1129
angles: 90.00 90.00 90.00
With the nearest neighbours (Å) after each atom.
Atoms (fractional coordinates):
Mo  0.3675  0.8675  0.0000  1 Mo 2.45, 2 Ir 2.56, 2 Nb 2.69
Mo  0.8675  0.6325  0.0000  1 Mo 2.45, 2 Ir 2.56, 2 Nb 2.69
Mo  0.6325  0.1325  0.0000  1 Mo 2.45, 2 Ir 2.56, 2 Nb 2.69
Mo  0.1325  0.3675  0.0000  1 Mo 2.45, 2 Ir 2.56, 2 Nb 2.69
Ir  0.0000  0.0000  0.0000  4 Mo 2.56
Ir  0.5000  0.5000  0.0000  4 Mo 2.56
Nb  0.1804  0.6804  0.5000  6 Mo 2.69-2.92
Nb  0.6804  0.8196  0.5000  6 Mo 2.69-2.92
Nb  0.8196  0.3196  0.5000  6 Mo 2.69-2.92
Nb  0.3196  0.1804  0.5000  6 Mo 2.69-2.92